Record 1
A plane-wave DFT calculation with PBE was carried out for a relaxed structure of BeInCu2.

Computed properties:
As for the crystal system: tetragonal. The symmetry is I-42d, No. 122. For the energy of formation, the calculation gives 411 meV per atom. As for the distance to the lowest polymorph of the same formula: 1.39 eV per formula unit.

Lattice parameters (Å, degrees): 8.964 8.964 8.964 155.37 155.37 35.11
Sites, in units of the cell vectors:
Be 0.000 0.000 0.000
Be 0.750 0.250 0.500
In 0.250 0.750 0.500
In 0.500 0.500 0.000
Cu 0.070 0.625 0.945
Cu 0.375 0.320 0.445
Cu 0.680 0.125 0.055
Cu 0.875 0.930 0.555


Record 2
A plane-wave DFT calculation with PBE was carried out for a relaxed structure of RbPdBr.

Computed properties:
As for the crystal system: hexagonal. The symmetry is P6_3/mmc, No. 194. As for the distance to the lowest polymorph of the same formula: 0.42 eV per formula unit. Its formation energy (no corrections) is -582.0 meV/atom.

Lattice parameters (Å, degrees): 4.579 4.579 9.799 90.00 90.00 120.00
Sites, in units of the cell vectors:
Rb 0.000 0.000 0.000
Rb 0.000 0.000 0.500
Pd 0.333 0.667 0.250
Pd 0.667 0.333 0.750
Br 0.333 0.667 0.750
Br 0.667 0.333 0.250